Material: CoCu2Ni6
Method: DFT, PBE
State: relaxed

Cell: 2.4902 2.4902 18.8028 Å, 90.00 90.00 120.00°
Fractional positions:
Ni1 0.3333 0.6667 0.2153
Ni2 0.6667 0.3333 0.8933
Ni3 0.3333 0.6667 0.4383
Co1 0.3333 0.6667 0.0000
Ni4 0.3333 0.6667 0.7847
Cu1 0.6667 0.3333 0.3269
Ni5 0.3333 0.6667 0.5617
Cu2 0.6667 0.3333 0.6731
Ni6 0.6667 0.3333 0.1067

Results
Its crystal system is hexagonal. Its space group is P-6m2, No. 187. For the formation energy, the calculation gives 0.068 eV/atom.

***

Material: CoCu2Ni
Method: DFT, PBE
State: relaxed

Cell: 2.4560 2.4560 8.4631 Å, 90.00 90.00 115.92°
Fractional positions:
Ni1 0.5000 0.5000 0.2500
Cu1 0.0000 0.0000 0.4978
Cu2 0.0000 0.0000 0.0022
Co1 0.5000 0.5000 0.7500

Results
Its crystal system is orthorhombic. Its space group is Cmmm, No. 65. For the formation energy, the calculation gives 0.126 eV/atom.